A plane-wave DFT calculation with PBE was carried out for a relaxed Na2BiAu2 crystal.

Lattice parameters (Å, degrees): 7.735 7.735 4.078 90.00 90.00 90.00
Space group P4/mbm (No. 127)
Unique sites:
Na (0.166, 0.334, 0.000) [4 per cell]
Bi (0.000, 0.000, 0.500) [2 per cell]
Au (0.131, 0.631, 0.500) [4 per cell]

Summary:
calculated formation energy = -0.264 eV per atom